# 1
Computed, not measured: an optimized crystal structure of TbGa4IrRu2 at the GGA-PBE level of DFT.

a = 4.2590 Å, b = 4.2590 Å, c = 25.4496 Å
α = 90.00°, β = 90.00°, γ = 120.00°
Last column: nearest neighbours and their distance in Å.
Space group R-3m (No. 166, hexagonal axes)
Inequivalent atoms, fractional coordinates:
Tb: 0.0000 0.0000 0.0000 x3  8 Ga 2.97-3.32
Ga: 0.0000 0.0000 0.1305 x6  4 Ru 2.62-2.75, 3 Ir 2.63
Ga: 0.0000 0.0000 0.3991 x6  1 Ir 2.57, 3 Ru 2.57
Ir: 0.0000 0.0000 0.5000 x3  8 Ga 2.57-2.63
Ru: 0.0000 0.0000 0.2385 x6  7 Ga 2.57-2.75

Calculated values
**Energy of formation**: -10.19 kcal/mol of atoms



# 2
Computed, not measured: an optimized crystal structure of Cs2MgCuAs2 at the GGA-PBE level of DFT.

a = 6.3398 Å, b = 18.5639 Å, c = 6.4690 Å
α = 90.00°, β = 90.00°, γ = 90.00°
Last column: nearest neighbours and their distance in Å.
Space group Ibam (No. 72)
Inequivalent atoms, fractional coordinates:
Cs: 0.2488 0.1626 0.0000 x8  4 As 3.47-3.72, 2 Cu 3.77, 2 Mg 3.78
Mg: 0.0000 0.5000 0.2500 x4  4 As 2.71
Cu: 0.0000 0.0000 0.2500 x4  4 As 2.55
As: 0.2291 0.0716 0.5000 x8  2 Cu 2.55, 2 Mg 2.71

Calculated values
**Energy of formation**: -8.67 kcal/mol of atoms



# 3
Computed, not measured: an optimized crystal structure of HoErMgFe at the GGA-PBE level of DFT.

a = 7.0904 Å, b = 7.0904 Å, c = 7.0904 Å
α = 90.00°, β = 90.00°, γ = 90.00°
Last column: nearest neighbours and their distance in Å.
Space group F-43m (No. 216)
Inequivalent atoms, fractional coordinates:
Ho: 0.0000 0.0000 0.0000 x4  4 Fe 3.07, 4 Mg 3.07
Er: 0.0000 0.0000 0.5000 x4  4 Fe 3.07, 4 Mg 3.07
Mg: 0.2500 0.2500 0.2500 x4  4 Ho 3.07, 4 Er 3.07
Fe: 0.2500 0.2500 0.7500 x4  4 Ho 3.07, 4 Er 3.07

Calculated values
**Energy of formation**: 2.64 kcal/mol of atoms